This record from the Alexandria database describes a relaxed Mg16Al12Pb crystal. The functional is GGA-PBEsol.

abc: 9.1107 9.1107 9.1107
angles: 109.47 109.47 109.47
Sites, in units of the cell vectors:
Mg (0.0000, 0.0000, 0.3482)
Mg (0.0000, 0.3155, 0.5991)
Mg (0.0000, 0.3482, 0.0000)
Mg (0.0000, 0.5991, 0.3155)
Mg (0.2836, 0.6845, 0.6845)
Mg (0.3155, 0.0000, 0.5991)
Mg (0.3155, 0.5991, 0.0000)
Mg (0.3482, 0.0000, 0.0000)
Mg (0.4009, 0.4009, 0.7164)
Mg (0.4009, 0.7164, 0.4009)
Mg (0.5991, 0.0000, 0.3155)
Mg (0.5991, 0.3155, 0.0000)
Mg (0.6518, 0.6518, 0.6518)
Mg (0.6845, 0.2836, 0.6845)
Mg (0.6845, 0.6845, 0.2836)
Mg (0.7164, 0.4009, 0.4009)
Al (0.0000, 0.6278, 0.8126)
Al (0.0000, 0.8126, 0.6278)
Al (0.1848, 0.3722, 0.3722)
Al (0.1874, 0.1874, 0.8152)
Al (0.1874, 0.8152, 0.1874)
Al (0.3722, 0.1848, 0.3722)
Al (0.3722, 0.3722, 0.1848)
Al (0.6278, 0.0000, 0.8126)
Al (0.6278, 0.8126, 0.0000)
Al (0.8126, 0.0000, 0.6278)
Al (0.8126, 0.6278, 0.0000)
Al (0.8152, 0.1874, 0.1874)
Pb (0.0000, 0.0000, 0.0000)

Properties
total magnetic moment = 0.00 μB/f.u.
D(E_F) = 0.3968 states/eV per atom
total energy = -2.771 eV per atom
space group = I-43m, No. 217